DFT (GGA+U) results for a relaxed structure of Mg2InNiO4.

CIF file:
```
data_Mg2InNiO4
_chemical_formula_sum 'Mg2 In1 Ni1 O4'
_cell_length_a 4.3473
_cell_length_b 4.3473
_cell_length_c 5.5019
_cell_angle_alpha 113.28
_cell_angle_beta 113.27
_cell_angle_gamma 90.00
_symmetry_space_group_name_H-M 'P 1'
_symmetry_Int_Tables_number 1
loop_
_symmetry_equiv_pos_as_xyz
'x,y,z'
loop_
_atom_site_label
_atom_site_type_symbol
_atom_site_fract_x
_atom_site_fract_y
_atom_site_fract_z
Mg1 Mg 0.2500 0.7500 0.5000
Mg2 Mg 0.0000 0.0000 0.0000
In1 In 0.7500 0.2500 0.5000
Ni1 Ni 0.5000 0.5000 0.0000
O1 O 0.0023 0.5023 0.0046
O2 O 0.4977 0.9977 0.9954
O3 O 0.7755 0.7755 0.5509
O4 O 0.2245 0.2245 0.4491
```

E, eV/atom: -5.289
Space group: I-4m2, No. 119

***

DFT (GGA+U) results for a relaxed structure of MgIn2NiO.

CIF file:
```
data_MgIn2NiO
_chemical_formula_sum 'Mg1 In2 Ni1 O1'
_cell_length_a 5.3096
_cell_length_b 4.2916
_cell_length_c 5.3096
_cell_angle_alpha 90.00
_cell_angle_beta 90.00
_cell_angle_gamma 90.00
_symmetry_space_group_name_H-M 'P 1'
_symmetry_Int_Tables_number 1
loop_
_symmetry_equiv_pos_as_xyz
'x,y,z'
loop_
_atom_site_label
_atom_site_type_symbol
_atom_site_fract_x
_atom_site_fract_y
_atom_site_fract_z
Ni1 Ni 0.0000 0.5000 0.0000
Mg1 Mg 0.0000 0.0000 0.0000
O1 O 0.5000 0.5000 0.5000
In1 In 0.0000 0.0000 0.5000
In2 In 0.5000 0.0000 0.0000
```

E, eV/atom: -1.765
Space group: P4/mmm, No. 123